1.
Computed, not measured: an optimized crystal structure of Tl2SbAu2 at the PBE-GGA level of DFT.

Unit cell a=4.367 b=4.367 c=7.431 alpha=72.91 beta=72.91 gamma=90.00
Element x y z (fractional)
Tl: 0.250 0.750 0.500
Tl: 0.750 0.250 0.500
Au: 0.598 0.598 0.804
Au: 0.402 0.402 0.196
Sb: 0.000 0.000 0.000

SG   No. 139
Raw formation energy   0.1987 eV per atom
E   -0.21191 Ry/atom
Total magnetic moment   0.0000 μB/atom
Energy above the most stable polymorph in this dataset   24.9 kJ per mole of atoms

2.
Computed, not measured: an optimized crystal structure of AcLu2Ag at the PBE-GGA level of DFT.

Unit cell a=3.668 b=3.668 c=8.764 alpha=90.00 beta=90.00 gamma=90.00
Element x y z (fractional)
Lu: 0.000 0.000 0.194
Lu: 0.000 0.000 0.806
Ac: 0.500 0.500 0.500
Ag: 0.500 0.500 0.000

Formation energy   -0.10 eV/atom
SG   No. 123
E   -0.30111 Ry/atom
Total magnetic moment   0.0002 μB/atom
Energy above the most stable polymorph in this dataset   0.0 kJ per mole of atoms

3.
Computed, not measured: an optimized crystal structure of La2DyGa3Pt4 at the PBE-GGA level of DFT.

Unit cell a=4.336 b=4.336 c=11.305 alpha=90.00 beta=90.00 gamma=90.00
Element x y z (fractional)
Pt: 0.000 0.500 0.343
Pt: 0.500 0.000 0.657
Pt: 0.000 0.000 0.000
Pt: 0.500 0.500 0.000
Ga: 0.000 0.000 0.500
Ga: 0.000 0.500 0.120
Ga: 0.500 0.000 0.880
La: 0.500 0.000 0.229
La: 0.000 0.500 0.771
Dy: 0.500 0.500 0.500

Formation energy   -1.01 eV/atom
SG   No. 115
E   -0.42501 Ry/atom
Total magnetic moment   0.0000 μB/atom

Quick rundown of calculated volume, same order as above: 25.8 29.5 21.3 Å³ per atom